HgTe5Pb4 PBE-GGA relaxed; formation energy from raw total energies = -0.30 eV per atom; density = 8.12 g/cm3; SG = No. 139; uncorrected energy = -3.387 eV per atom
1.0
-2.2980 2.2980 16.1467
2.2980 -2.2980 16.1467
2.2980 2.2980 -16.1467
Hg Te Pb
1 5 4
Cartesian
0.0000 0.0000 0.0000 Hg
0.0000 0.0000 3.1055 Te
0.0000 0.0000 9.6754 Te
0.0000 0.0000 16.1467 Te
0.0000 0.0000 22.6180 Te
0.0000 0.0000 29.1879 Te
0.0000 0.0000 6.4152 Pb
0.0000 0.0000 12.9688 Pb
0.0000 0.0000 19.3247 Pb
0.0000 0.0000 25.8783 Pb

---

Ba2CaTc PBE-GGA relaxed; relative energy among the computed polymorphs = 3 meV per atom; ΔE_f = 0.6040 eV per atom; density = 4.20 g/cm3; SG = No. 12; uncorrected energy = -3.449 eV per atom
1.0
9.0325 -1.8090 0.0000
9.0325 1.8090 0.0000
-1.5010 0.0000 4.9970
Ba Ca Tc
2 1 1
Cartesian
2.5077 0.0000 0.7525 Ba
14.0563 0.0000 4.2445 Ba
-0.7505 0.0000 2.4985 Ca
9.0325 0.0000 0.0000 Tc

---

NaAlTeS4 PBE-GGA relaxed; formation energy from raw total energies = -0.53 eV per atom; density = 2.73 g/cm3; SG = No. 63; uncorrected energy = -4.060 eV per atom
1.0
3.8526 -5.6306 0.0000
3.8526 5.6306 0.0000
0.0000 0.0000 8.5793
Na Al Te S
2 2 2 8
Cartesian
0.0000 0.0000 0.0000 Na
0.0000 0.0000 4.2896 Na
3.8526 1.4600 6.4345 Al
3.8526 -1.4600 2.1448 Al
3.8526 1.8505 2.1448 Te
3.8526 -1.8505 6.4345 Te
3.8526 2.7574 4.6408 S
3.8526 2.7574 8.2281 S
2.1540 0.1027 2.1448 S
2.1540 -0.1027 6.4345 S
5.5511 0.1027 2.1448 S
5.5511 -0.1027 6.4345 S
3.8526 -2.7574 0.3511 S
3.8526 -2.7574 3.9385 S